{"formula": "Sr5Cl", "functional": "GGA-PBE", "state": "optimized geometry", "lattice_angstrom": [[-9.7474, 1.1211, 5.7849], [7.0533, -3.3234, -8.3030], [1.4045, -5.6838, 3.4681]], "species": ["Cl", "Sr", "Sr", "Sr", "Sr", "Sr"], "frac_coords": [[0.0649, 0.9351, 0.0000], [0.3202, 0.6798, 0.0000], [0.6527, 0.3473, 0.0000], [0.0992, 0.9008, 0.5000], [0.4320, 0.5680, 0.5000], [0.7644, 0.2356, 0.5000]], "space_group": "Amm2", "e_tot_ev_per_atom": -2.126, "mass_density_g_cm3": 2.4, "dos_ef_per_ev_cell": 5.620}

---

{"formula": "LiScPb", "functional": "GGA-PBE", "state": "optimized geometry", "lattice_angstrom": [[-3.7373, 1.1183, -2.9140], [0.2157, -4.3833, 2.1094], [-3.3109, 2.3065, 5.1316]], "species": ["Pb", "Sc", "Li", "Pb", "Sc", "Li"], "frac_coords": [[0.0000, 0.0000, 0.4916], [0.6667, 0.3333, 0.2612], [0.0000, 0.0000, 0.9445], [0.3333, 0.6667, 0.0488], [0.3333, 0.6667, 0.5806], [0.6667, 0.3333, 0.7906]], "space_group": "P3m1", "e_tot_ev_per_atom": -4.335, "formation_enthalpy_0k_ev_per_atom": -0.3500, "mass_density_g_cm3": 6.4, "dos_ef_per_ev_cell": 1.070}

---

{"formula": "Na6TlCd6", "functional": "GGA-PBE", "state": "optimized geometry", "lattice_angstrom": [[5.5938, 0.0000, 2.2359], [2.8185, 7.7307, 1.0639], [-0.0710, -0.2432, 8.2931]], "species": ["Tl", "Cd", "Cd", "Na", "Cd", "Cd", "Na", "Na", "Na", "Cd", "Na", "Cd", "Na"], "frac_coords": [[0.0000, 0.0000, 0.0000], [0.5000, 0.0000, 0.5000], [0.0000, 0.5000, 0.0000], [0.6673, 0.8327, 0.8327], [0.5000, 0.5000, 0.0000], [0.5000, 0.7549, 0.2451], [0.6656, 0.3344, 0.3344], [0.0000, 0.3366, 0.6634], [0.3327, 0.1673, 0.1673], [0.0000, 0.0000, 0.5000], [0.3344, 0.6656, 0.6656], [0.5000, 0.2451, 0.7549], [0.0000, 0.6634, 0.3366]], "space_group": "Immm", "e_tot_ev_per_atom": -1.280, "formation_enthalpy_0k_ev_per_atom": -0.0669, "mass_density_g_cm3": 4.7, "dos_ef_per_ev_cell": 5.058}

---

{"formula": "NaTl2SeI", "functional": "GGA-PBE", "state": "optimized geometry", "lattice_angstrom": [[6.2580, 0.0000, 0.0000], [0.0000, 6.2580, 0.0000], [0.0000, 0.0000, 5.3740]], "species": ["Na", "Tl", "Tl", "Se", "I"], "frac_coords": [[0.0000, 0.0000, 0.5000], [0.0000, 0.5000, 0.0000], [0.5000, 0.0000, 0.0000], [0.0000, 0.0000, 0.0000], [0.5000, 0.5000, 0.5000]], "space_group": "P4/mmm", "e_tot_ev_per_atom": -2.752, "mass_density_g_cm3": 5.0, "dos_ef_per_ev_cell": 0.979}

---

{"formula": "Rb3NaRe2O8", "functional": "GGA-PBE", "state": "optimized geometry", "lattice_angstrom": [[-1.7158, -5.9071, 1.1044], [5.2042, 2.2808, 2.6021], [-4.2695, 2.4372, 6.4028]], "species": ["Rb", "O", "Na", "Rb", "O", "O", "Rb", "O", "O", "O", "O", "Re", "O", "Re"], "frac_coords": [[0.6667, 0.3333, 0.3387], [0.6667, 0.3333, 0.9997], [0.0000, 0.0000, 0.5000], [0.3333, 0.6667, 0.6613], [0.1779, 0.8221, 0.3066], [0.8221, 0.6442, 0.6934], [0.0000, 0.0000, 0.0000], [0.1779, 0.3558, 0.3066], [0.3558, 0.1779, 0.6934], [0.6442, 0.8221, 0.3066], [0.3333, 0.6667, 0.0003], [0.3333, 0.6667, 0.2218], [0.8221, 0.1779, 0.6934], [0.6667, 0.3333, 0.7782]], "space_group": "P-3m1", "e_tot_ev_per_atom": -6.627, "mass_density_g_cm3": 4.7, "dos_ef_per_ev_cell": 11.294}

---

{"formula": "K2U2Te6Pd", "functional": "GGA-PBE", "state": "optimized geometry", "lattice_angstrom": [[7.4081, -0.0317, 0.0608], [-3.6891, 6.4243, 0.0608], [-1.3299, -2.2859, 8.4829]], "species": ["Te", "U", "Te", "K", "U", "Te", "Te", "K", "Te", "Pd", "Te"], "frac_coords": [[0.9213, 0.5997, 0.2934], [0.6716, 0.3284, 0.5000], [0.7558, 0.7558, 0.6874], [0.1655, 0.8345, 0.0000], [0.3284, 0.6716, 0.5000], [0.0787, 0.4003, 0.7066], [0.5997, 0.9213, 0.2934], [0.8345, 0.1655, 0.0000], [0.4003, 0.0787, 0.7066], [0.0000, 0.0000, 0.5000], [0.2442, 0.2442, 0.3126]], "space_group": "C2/m", "e_tot_ev_per_atom": -5.096, "mass_density_g_cm3": 5.9, "dos_ef_per_ev_cell": 17.900}

---

{"formula": "PuZr2Cd", "functional": "GGA-PBE", "state": "optimized geometry", "lattice_angstrom": [[1.8479, 2.2975, -0.0955], [-1.8479, 2.2975, -0.0955], [0.0000, 0.1759, 9.8656]], "species": ["Cd", "Zr", "Zr", "Pu"], "frac_coords": [[0.0000, 0.0000, 0.5000], [0.5118, 0.5118, 0.7582], [0.4882, 0.4882, 0.2418], [0.0000, 0.0000, 0.0000]], "space_group": "C2/m", "e_tot_ev_per_atom": -7.770, "formation_enthalpy_0k_ev_per_atom": 0.3155, "mass_density_g_cm3": 10.7, "dos_ef_per_ev_cell": 7.850}

---

{"formula": "Pa5Se4N", "functional": "GGA-PBE", "state": "optimized geometry", "lattice_angstrom": [[-3.0897, 3.6500, -2.9921], [-5.2022, -2.8641, -3.4395], [-5.2895, 2.7005, 3.4387]], "species": ["Se", "Pa", "Pa", "N", "Pa", "Pa", "Se", "Se", "Se", "Pa"], "frac_coords": [[0.1906, 0.2268, 0.3940], [0.0946, 0.6459, 0.1669], [0.9075, 0.3541, 0.8331], [0.0010, 0.0000, 0.0000], [0.5010, 0.0000, 0.0000], [0.2616, 0.8331, 0.6459], [0.5846, 0.6060, 0.2268], [0.8115, 0.7732, 0.6060], [0.4175, 0.3940, 0.7732], [0.7405, 0.1669, 0.3541]], "space_group": "I4/m", "e_tot_ev_per_atom": -8.167, "mass_density_g_cm3": 11.2, "dos_ef_per_ev_cell": 17.800}